## Cs2Pa3VO12 (GGA+U)

Data for a geometry-optimized Cs2Pa3VO12 structure.

```
Cs2Pa3VO12
1.0
4.0153 2.3182 6.2115
-4.0153 2.3182 6.2115
0.0000 -4.6364 6.2115
Cs Pa V O
2 3 1 12
Direct
0.1266 0.1266 0.1266 Cs
0.8734 0.8734 0.8734 Cs
0.0000 0.5000 0.5000 Pa
0.5000 0.0000 0.5000 Pa
0.5000 0.5000 0.0000 Pa
0.5000 0.5000 0.5000 V
0.1778 0.1778 0.5599 O
0.1778 0.5599 0.1778 O
0.2193 0.5543 0.5543 O
0.4401 0.8222 0.8222 O
0.4457 0.4457 0.7807 O
0.4457 0.7807 0.4457 O
0.5543 0.2193 0.5543 O
0.5543 0.5543 0.2193 O
0.5599 0.1778 0.1778 O
0.7807 0.4457 0.4457 O
0.8222 0.4401 0.8222 O
0.8222 0.8222 0.4401 O
```

## Properties
DFT total energy = -145.7 eV/cell
space group = R-3m, No. 166